# 1
Material: MgZr6Os5
Method: DFT, GGA-PBE
State: relaxed

Its space group is Immm (71). For the density of states at the Fermi level, the calculation gives 3.0 states/eV/f.u. The calculation puts the total energy at -114.21 eV per formula unit.

abc: 4.686 6.607 8.124
angles: 114.00 106.76 90.00
Positions (direct):
1 Mg 0.000 0.000 0.000
2 Os 0.336 0.836 0.672
3 Os 0.667 0.667 0.335
4 Os 0.000 0.500 0.000
5 Os 0.333 0.333 0.665
6 Os 0.664 0.164 0.328
7 Zr 0.169 0.423 0.339
8 Zr 0.169 0.916 0.339
9 Zr 0.500 0.257 0.000
10 Zr 0.500 0.743 0.000
11 Zr 0.831 0.084 0.661
12 Zr 0.831 0.577 0.661

# 2
Material: CsIn2GeOs
Method: DFT, GGA-PBE
State: relaxed

Its space group is P4/mmm (123). For the density of states at the Fermi level, the calculation gives 3.0 states/eV/f.u. The calculation puts the total energy at -21.82 eV per formula unit.

abc: 5.325 5.325 4.869
angles: 90.00 90.00 90.00
Positions (direct):
1 Cs 0.500 0.500 0.500
2 Ge 0.000 0.000 0.500
3 Os 0.000 0.000 0.000
4 In 0.000 0.500 0.000
5 In 0.500 0.000 0.000

Calculated formation energy / meV/atom: -432 71